Entry from the Alexandria database: BaZr2In after structural relaxation (PBE).

a b c (Å): 4.630 4.630 11.471
angles (deg): 78.36 78.36 90.00
Atoms (fractional coordinates):
1 Ba 0.000 0.000 0.000
2 Ba 0.750 0.250 0.500
3 Zr 0.596 0.125 0.250
4 Zr 0.154 0.625 0.250
5 Zr 0.375 0.404 0.750
6 Zr 0.875 0.846 0.750
7 In 0.500 0.500 0.000
8 In 0.250 0.750 0.500

ΔH_f (0 K), eV/atom: 0.540
N(E_F), states/eV/f.u.: 6.38
Uncorrected energy, eV per atom: -4.899
Crystal system: tetragonal

Entry from the Alexandria database: Cu2RuPt9 after structural relaxation (PBE).

a b c (Å): 3.916 3.916 11.728
angles (deg): 90.00 90.00 90.00
Atoms (fractional coordinates):
1 Cu 0.000 0.000 0.334
2 Cu 0.000 0.000 0.666
3 Ru 0.000 0.000 0.000
4 Pt 0.500 0.500 0.000
5 Pt 0.500 0.500 0.335
6 Pt 0.500 0.500 0.665
7 Pt 0.500 0.000 0.167
8 Pt 0.500 0.000 0.500
9 Pt 0.500 0.000 0.833
10 Pt 0.000 0.500 0.167
11 Pt 0.000 0.500 0.500
12 Pt 0.000 0.500 0.833

ΔH_f (0 K), eV/atom: -0.070
N(E_F), states/eV/f.u.: 15.67
Uncorrected energy, eV per atom: -6.056
Crystal system: tetragonal